(1)
A plane-wave DFT calculation with PBE-GGA was carried out for a relaxed structure of PmDy6Sc4.

magnetization: 0.00 μB/atom
Fermi-level density of states: 18.27 states/eV/f.u.
relative energy among the computed polymorphs: 0.0 meV per atom
ΔE_f: 111.7 meV per atom

Structure (POSCAR):
```
PmDy6Sc4
1.0
-0.205 -4.700 2.814
4.165 0.995 -3.374
12.609 10.648 18.704
Dy Pm Sc
12 2 8
Direct
0.500 0.000 0.500
0.159 0.318 0.178
0.159 0.318 0.322
0.827 0.654 0.096
0.508 0.015 0.750
0.841 0.682 0.678
0.173 0.346 0.904
0.173 0.346 0.596
0.492 0.985 0.250
0.841 0.682 0.822
0.500 0.000 0.000
0.827 0.654 0.404
0.826 0.652 0.250
0.174 0.348 0.750
0.164 0.327 0.043
0.508 0.016 0.623
0.836 0.673 0.957
0.164 0.327 0.457
0.508 0.016 0.877
0.492 0.984 0.377
0.492 0.984 0.123
0.836 0.673 0.543
```



(2)
A plane-wave DFT calculation with PBE-GGA was carried out for a relaxed structure of NaAcMg4.

magnetization: 0.00 μB/atom
Fermi-level density of states: 4.39 states/eV/f.u.
ΔE_f: 0.5 meV per atom

Structure (POSCAR):
```
NaAcMg4
1.0
6.286 0.000 0.000
3.143 5.444 0.000
3.143 1.815 5.133
Mg Ac Na
4 1 1
Direct
0.625 0.124 0.625
0.625 0.625 0.124
0.124 0.625 0.625
0.625 0.625 0.625
0.000 0.000 0.000
0.250 0.250 0.250
```



(3)
A plane-wave DFT calculation with PBE-GGA was carried out for a relaxed structure of CaCr4Ni.

magnetization: 0.00 μB/atom
Fermi-level density of states: 7.56 states/eV/f.u.
ΔE_f: 620.4 meV per atom

Structure (POSCAR):
```
CaCr4Ni
1.0
0.000 3.484 3.484
3.484 0.000 3.484
3.484 3.484 0.000
Ni Cr Ca
1 4 1
Direct
0.250 0.250 0.250
0.122 0.626 0.626
0.626 0.122 0.626
0.626 0.626 0.122
0.626 0.626 0.626
0.000 0.000 0.000
```



(4)
A plane-wave DFT calculation with PBE-GGA was carried out for a relaxed structure of KLaInHg.

magnetization: 0.00 μB/atom
Fermi-level density of states: 4.37 states/eV/f.u.
ΔE_f: -207.9 meV per atom

Structure (POSCAR):
```
KLaInHg
1.0
-5.041 -2.480 -0.558
-2.475 -2.403 4.469
-4.580 2.366 2.302
K Hg In La
1 1 1 1
Direct
0.500 0.500 0.500
0.750 0.750 0.750
0.250 0.250 0.250
0.000 0.000 0.000
```



(5)
A plane-wave DFT calculation with PBE-GGA was carried out for a relaxed structure of Nd4Dy2Y2Er.

magnetization: 0.00 μB/atom
Fermi-level density of states: 13.56 states/eV/f.u.
ΔE_f: 19.6 meV per atom

Structure (POSCAR):
```
Nd4Dy2Y2Er
1.0
5.105 0.000 0.000
-2.553 7.655 0.002
0.000 -2.559 7.646
Nd Dy Y Er
4 2 2 1
Direct
0.778 0.556 0.669
0.555 0.109 0.330
0.222 0.444 0.331
0.445 0.891 0.670
0.667 0.333 0.000
0.333 0.667 0.000
0.112 0.223 0.670
0.888 0.777 0.330
0.000 0.000 0.000
```



(6)
A plane-wave DFT calculation with PBE-GGA was carried out for a relaxed structure of Sm6Si2SnTe3.

magnetization: 0.00 μB/atom
raw formation energy: -106.6 kJ/mol of atoms
Fermi-level density of states: 2.62 states/eV/f.u.

Structure (POSCAR):
```
Sm6Si2SnTe3
1.0
4.351 0.000 0.000
0.000 8.866 0.248
-2.175 -2.627 9.248
Sn Si Sm Te
1 2 6 3
Direct
0.500 0.000 0.000
0.832 0.665 0.664
0.168 0.335 0.336
0.333 0.894 0.666
0.009 0.251 0.018
0.674 0.568 0.347
0.667 0.106 0.334
0.326 0.432 0.653
0.991 0.749 0.982
0.836 0.168 0.671
0.500 0.500 0.000
0.164 0.832 0.329
```



(7)
A plane-wave DFT calculation with PBE-GGA was carried out for a relaxed structure of Tm2TaH.

raw total energy: -22.69 eV per formula unit
magnetization: 0.00 μB/atom
Fermi-level density of states: 3.86 states/eV/f.u.

Structure (POSCAR):
```
Tm2TaH
1.0
3.168 0.000 0.000
1.584 2.744 0.000
1.584 0.915 8.719
H Tm Ta
1 2 1
Direct
0.500 0.500 0.500
0.113 0.113 0.662
0.887 0.887 0.338
0.000 0.000 0.000
```



(8)
A plane-wave DFT calculation with PBE-GGA was carried out for a relaxed structure of TmTh2ScAs4.

magnetization: 0.00 μB/atom
Fermi-level density of states: 3.72 states/eV/f.u.
ΔE_f: -1401.3 meV per atom

Structure (POSCAR):
```
TmTh2ScAs4
1.0
4.144 0.000 0.000
0.000 7.072 -0.099
0.000 2.529 6.716
As Sc Tm Th
4 1 1 2
Direct
0.000 0.730 0.761
0.500 0.266 0.749
0.500 0.734 0.251
0.000 0.270 0.239
0.500 0.500 0.000
0.000 0.500 0.500
0.500 0.000 0.500
0.000 0.000 0.000
```



(9)
A plane-wave DFT calculation with PBE-GGA was carried out for a relaxed structure of LaGdTm2.

magnetization: 1.83 μB/atom
Fermi-level density of states: 7.47 states/eV/f.u.
relative energy among the computed polymorphs: 9.5 meV per atom
ΔE_f: 37.8 meV per atom

Structure (POSCAR):
```
LaGdTm2
1.0
-3.625 0.000 0.000
0.000 -3.625 0.000
0.000 0.000 9.863
Tm Gd La
2 1 1
Direct
0.000 0.000 0.755
0.000 0.000 0.245
0.500 0.500 0.000
0.500 0.500 0.500
```



(10)
A plane-wave DFT calculation with PBE-GGA was carried out for a relaxed structure of Nd2Br2Cl.

magnetization: 0.00 μB/atom
raw formation energy: -149.9 kJ/mol of atoms
Fermi-level density of states: 2.79 states/eV/f.u.

Structure (POSCAR):
```
Nd2Br2Cl
1.0
-0.721 5.839 -0.105
-5.596 -3.613 2.256
5.693 0.808 6.037
Br Nd Cl
4 4 2
Direct
0.979 0.958 0.202
0.701 0.402 0.650
0.299 0.598 0.350
0.021 0.042 0.798
0.840 0.680 0.427
0.509 0.017 0.280
0.491 0.983 0.720
0.160 0.320 0.573
0.348 0.696 0.910
0.652 0.304 0.090
```



(11)
A plane-wave DFT calculation with PBE-GGA was carried out for a relaxed structure of TlGeSb2.

magnetization: 0.00 μB/atom
raw formation energy: 26.0 kJ/mol of atoms
Fermi-level density of states: 2.03 states/eV/f.u.
relative energy among the computed polymorphs: 125.5 meV per atom

Structure (POSCAR):
```
TlGeSb2
1.0
-1.666 -4.717 1.744
0.697 -1.344 5.077
-4.168 -0.299 3.257
Sb Tl Ge
2 1 1
Direct
0.250 0.250 0.250
0.750 0.750 0.750
0.500 0.500 0.500
0.000 0.000 0.000
```



(12)
A plane-wave DFT calculation with PBE-GGA was carried out for a relaxed structure of Sc4In2Au.

magnetization: 0.00 μB/atom
Fermi-level density of states: 5.11 states/eV/f.u.
ΔE_f: -354.8 meV per atom

Structure (POSCAR):
```
Sc4In2Au
1.0
-3.857 -1.657 -2.540
-3.563 -2.479 2.288
-6.353 5.496 1.322
Sc In Au
4 2 1
Direct
0.875 0.875 0.375
0.376 0.376 0.872
0.125 0.125 0.625
0.624 0.624 0.128
0.753 0.753 0.741
0.247 0.247 0.259
0.000 0.000 0.000
```



(13)
A plane-wave DFT calculation with PBE-GGA was carried out for a relaxed structure of K2Na3I5.

magnetization: 0.00 μB/atom
raw formation energy: -127.8 kJ/mol of atoms
Fermi-level density of states: 0.00 states/eV/f.u.

Structure (POSCAR):
```
K2Na3I5
1.0
-0.337 -3.221 3.525
-3.759 -7.110 -3.607
8.137 -6.155 -1.597
Na I K
3 5 2
Direct
0.114 0.644 0.128
0.886 0.356 0.872
0.500 0.500 0.500
0.696 0.413 0.195
0.907 0.769 0.417
0.304 0.587 0.805
0.000 0.000 0.000
0.093 0.231 0.583
0.329 0.074 0.268
0.671 0.926 0.732
```



(14)
A plane-wave DFT calculation with PBE-GGA was carried out for a relaxed structure of Pr3Nd3Mg2.

magnetization: 0.00 μB/atom
Fermi-level density of states: 10.25 states/eV/f.u.
ΔE_f: 50.4 meV per atom

Structure (POSCAR):
```
Pr3Nd3Mg2
1.0
-5.204 1.165 -1.215
3.679 -1.792 -5.166
-4.051 -15.494 2.491
Pr Mg Nd
6 4 6
Direct
0.962 0.925 0.395
0.038 0.075 0.605
0.038 0.075 0.895
0.255 0.510 0.750
0.962 0.925 0.105
0.745 0.490 0.250
0.772 0.543 0.648
0.228 0.457 0.352
0.772 0.543 0.852
0.228 0.457 0.148
0.354 0.708 0.529
0.354 0.708 0.971
0.646 0.292 0.029
0.646 0.292 0.471
0.527 0.054 0.750
0.473 0.946 0.250
```



(15)
A plane-wave DFT calculation with PBE-GGA was carried out for a relaxed structure of MgTlIrPd2.

magnetization: 0.18 μB/atom
Fermi-level density of states: 5.85 states/eV/f.u.
ΔE_f: 565.6 meV per atom

Structure (POSCAR):
```
MgTlIrPd2
1.0
-1.890 -0.622 4.536
-1.378 -4.513 -1.193
4.358 -1.747 1.577
Mg Ir Pd Tl
1 1 2 1
Direct
0.000 0.500 0.000
0.000 0.000 0.000
0.000 0.000 0.500
0.500 0.000 0.000
0.500 0.500 0.500
```



(16)
A plane-wave DFT calculation with PBE-GGA was carried out for a relaxed structure of TaH2N4.

raw total energy: -46.62 eV per formula unit
magnetization: 0.69 μB/atom
Fermi-level density of states: 2.01 states/eV/f.u.

Structure (POSCAR):
```
TaH2N4
1.0
-3.343 2.461 0.189
-2.441 -3.344 0.351
-2.452 -0.232 5.326
H Ta N
2 1 4
Direct
0.299 0.299 0.402
0.701 0.701 0.598
0.000 0.000 0.000
0.500 0.000 0.000
0.000 0.500 0.000
0.802 0.802 0.396
0.198 0.198 0.604
```



(17)
A plane-wave DFT calculation with PBE-GGA was carried out for a relaxed structure of PrNdTl.

magnetization: 0.00 μB/atom
Fermi-level density of states: 3.66 states/eV/f.u.
relative energy among the computed polymorphs: 48.9 meV per atom
ΔE_f: -218.4 meV per atom

Structure (POSCAR):
```
PrNdTl
1.0
3.789 0.000 0.000
0.000 3.789 0.000
-1.895 -1.895 6.808
Nd Pr Tl
1 1 1
Direct
0.604 0.604 0.209
0.294 0.294 0.588
0.951 0.951 0.903
```



(18)
A plane-wave DFT calculation with PBE-GGA was carried out for a relaxed structure of InGaTcHg2.

magnetization: 0.83 μB/atom
Fermi-level density of states: 4.24 states/eV/f.u.
ΔE_f: 1242.8 meV per atom

Structure (POSCAR):
```
InGaTcHg2
1.0
-4.185 -1.771 2.999
3.304 -1.607 3.662
-0.321 4.865 2.424
Ga Hg In Tc
1 2 1 1
Direct
0.000 0.500 0.000
0.000 0.000 0.500
0.500 0.000 0.000
0.000 0.000 0.000
0.500 0.500 0.500
```



(19)
A plane-wave DFT calculation with PBE-GGA was carried out for a relaxed structure of Ba2CoSn.

magnetization: 0.00 μB/atom
Fermi-level density of states: 3.86 states/eV/f.u.
ΔE_f: -46.4 meV per atom

Structure (POSCAR):
```
Ba2CoSn
1.0
-2.964 8.203 7.710
-11.254 -2.347 -1.829
-7.053 1.258 4.739
Sn Ba Co
2 4 2
Direct
0.750 0.250 0.500
0.000 0.000 0.000
0.375 0.554 0.750
0.875 0.696 0.750
0.304 0.625 0.250
0.446 0.125 0.250
0.250 0.750 0.500
0.500 0.500 0.000
```



(20)
A plane-wave DFT calculation with PBE-GGA was carried out for a relaxed structure of RhC2.

magnetization: 0.00 μB/atom
Fermi-level density of states: 2.04 states/eV/f.u.
relative energy among the computed polymorphs: 1727.5 meV per atom
ΔE_f: 2188.7 meV per atom

Structure (POSCAR):
```
RhC2
1.0
3.646 0.000 0.000
-1.823 3.158 0.000
0.000 0.000 2.668
C Rh
2 1
Direct
0.000 0.000 0.334
0.333 0.667 0.333
0.667 0.333 0.333
```